i:
A relaxed BaTbIn crystal. Source: Alexandria, functional PBE.

a b c (Å): 4.1294 5.5622 5.5622
angles (deg): 120.00 90.00 90.00
Last column: nearest neighbours and their distance in Å.
Positions (direct):
Tb (0.1671, 0.6667, 0.3333)  3 In 3.21
Ba (0.6669, 0.3333, 0.6667)  6 In 3.82, 6 Tb 3.82, 2 Ba 4.13
In (0.1660, 0.0000, 0.0000)  3 Tb 3.21

Crystal system = hexagonal
Total magnetization = 0.00 μB/f.u.
ρ = 6.17 g/cm³
D(E_F) = 4.2 states/eV/cell

ii:
A relaxed BaTbIn crystal. Source: Alexandria, functional PBE.

a b c (Å): 4.0153 4.0153 14.5200
angles (deg): 97.95 97.95 90.00
Last column: nearest neighbours and their distance in Å.
Positions (direct):
Tb (0.2871, 0.2871, 0.5742)  4 In 3.24, 4 Tb 3.54
Tb (0.7129, 0.7129, 0.4258)  4 In 3.24, 4 Tb 3.54
In (0.1581, 0.1581, 0.3163)  4 Tb 3.24
In (0.8419, 0.8419, 0.6837)  4 Tb 3.24
Ba (0.5755, 0.5755, 0.1509)  4 In 3.69, 1 Tb 3.91, 4 Ba 4.02
Ba (0.4245, 0.4245, 0.8491)  4 In 3.69, 1 Tb 3.91, 4 Ba 4.02

Crystal system = tetragonal
Total magnetization = 0.55 μB/f.u.
ρ = 5.95 g/cm³
D(E_F) = 4.9 states/eV/cell

Energetically preferred structure: ii | next structure: +14.9 kJ/mol of atoms

i:
A relaxed Ba2InTc crystal. Source: Alexandria, functional PBE.

a b c (Å): 3.8325 3.8325 9.4805
angles (deg): 90.00 90.00 90.00
Last column: nearest neighbours and their distance in Å.
Positions (direct):
Ba (0.0000, 0.0000, 0.9184)  1 In 3.21
Ba (0.5000, 0.5000, 0.3409)  1 Tc 3.04
In (0.0000, 0.0000, 0.5794)  4 Tc 2.82
Tc (0.5000, 0.5000, 0.6613)  4 In 2.82, 1 Ba 3.04

Crystal system = tetragonal
Total magnetization = 0.00 μB/f.u.
ρ = 5.81 g/cm³
D(E_F) = 3.0 states/eV/cell

ii:
A relaxed Ba2InTc crystal. Source: Alexandria, functional PBE.

a b c (Å): 4.3222 4.3222 10.1118
angles (deg): 83.51 83.51 48.40
Last column: nearest neighbours and their distance in Å.
Positions (direct):
Ba (0.0064, 0.0064, 0.9657)  3 Tc 3.15-3.25
Ba (0.4936, 0.4936, 0.5343)  3 Tc 3.15-3.25
In (0.2500, 0.2500, 0.2500)  2 In 3.54, 6 Ba 3.65-3.75
Tc (0.7500, 0.7500, 0.7500)  6 Ba 3.15-3.25

Crystal system = monoclinic
Total magnetization = 1.95 μB/f.u.
ρ = 5.77 g/cm³
D(E_F) = 5.0 states/eV/cell

iii:
A relaxed Ba2InTc crystal. Source: Alexandria, functional PBE.

a b c (Å): 6.6189 6.6189 5.7005
angles (deg): 64.62 64.62 35.68
Last column: nearest neighbours and their distance in Å.
Positions (direct):
Ba (0.0375, 0.0375, 0.9616)  2 Tc 3.46, 2 Ba 3.60, 4 In 3.65-3.66
Ba (0.2327, 0.2327, 0.2673)  4 Tc 3.54-3.56, 2 Ba 3.60, 4 In 3.70-3.84
In (0.4433, 0.4433, 0.5559)  2 Tc 2.69
Tc (0.7865, 0.7865, 0.7151)  2 In 2.69

Crystal system = monoclinic
Total magnetization = 0.22 μB/f.u.
ρ = 6.22 g/cm³
D(E_F) = 4.7 states/eV/cell

iv:
A relaxed Ba2InTc crystal. Source: Alexandria, functional PBE.

a b c (Å): 5.7587 5.7587 5.7587
angles (deg): 60.00 60.00 60.00
Last column: nearest neighbours and their distance in Å.
Positions (direct):
Tc (0.0000, 0.0000, 0.0000)  8 Ba 3.53
Ba (0.2500, 0.2500, 0.2500)  4 In 3.53, 4 Tc 3.53
Ba (0.7500, 0.7500, 0.7500)  4 In 3.53, 4 Tc 3.53
In (0.5000, 0.5000, 0.5000)  8 Ba 3.53

Crystal system = cubic
Total magnetization = 2.06 μB/f.u.
ρ = 5.99 g/cm³
D(E_F) = 14.1 states/eV/cell

Energetically preferred structure: i | next structure: +8.3 kJ/mol of atoms

i:
A relaxed BaInTc2 crystal. Source: Alexandria, functional PBE.

a b c (Å): 3.2475 3.2317 9.1390
angles (deg): 69.26 90.00 90.00
Last column: nearest neighbours and their distance in Å.
Positions (direct):
Ba (0.0000, 0.5215, 0.4792)  4 Ba 3.23-3.25, 4 Tc 3.47-3.48
In (0.5000, 0.6893, 0.8103)  5 Tc 3.00-3.10, 4 In 3.23-3.25
Tc (0.0000, 0.9629, 0.0369)  4 Tc 2.57
Tc (0.5000, 0.3263, 0.1736)  4 Tc 2.57

Crystal system = orthorhombic
Total magnetization = 0.00 μB/f.u.
ρ = 8.30 g/cm³
D(E_F) = 4.0 states/eV/cell

ii:
A relaxed BaInTc2 crystal. Source: Alexandria, functional PBE.

a b c (Å): 4.8435 4.8435 3.6591
angles (deg): 90.00 90.00 90.01
Last column: nearest neighbours and their distance in Å.
Positions (direct):
Ba (0.5000, 0.0000, 0.5000)  8 Tc 3.04
In (0.0000, 0.5000, 0.5000)  8 Tc 3.04
Tc (0.0000, 0.0000, 0.0000)  4 In 3.04, 4 Ba 3.04
Tc (0.5000, 0.5000, 0.0000)  4 Ba 3.04, 4 In 3.04

Crystal system = tetragonal
Total magnetization = 3.19 μB/f.u.
ρ = 8.67 g/cm³
D(E_F) = 3.4 states/eV/cell

Energetically preferred structure: i | next structure: +75.5 kJ/mol of atoms

i:
A relaxed BaInTc2 crystal. Source: Alexandria, functional PBE.

a b c (Å): 5.2226 5.2226 6.2378
angles (deg): 71.73 71.73 44.41
Last column: nearest neighbours and their distance in Å.
Positions (direct):
Ba (0.7500, 0.7500, 0.7500)  6 Tc 3.50-3.66, 4 In 3.69
In (0.2500, 0.2500, 0.2500)  6 Tc 2.77-2.95
Tc (0.9905, 0.9905, 0.1527)  2 Tc 2.36
Tc (0.5095, 0.5095, 0.3473)  2 Tc 2.36

Crystal system = monoclinic
Total magnetization = 0.00 μB/f.u.
ρ = 6.64 g/cm³
D(E_F) = 3.9 states/eV/cell

ii:
A relaxed BaInTc2 crystal. Source: Alexandria, functional PBE.

a b c (Å): 4.2767 4.2767 7.1757
angles (deg): 72.65 72.65 59.99
Last column: nearest neighbours and their distance in Å.
Positions (direct):
Ba (0.4898, 0.4898, 0.5304)  6 Tc 3.47-3.71, 3 In 3.62
In (0.2877, 0.2877, 0.1368)  6 Tc 2.80-2.97
Tc (0.0197, 0.0197, 0.9410)  3 Tc 2.49
Tc (0.7028, 0.7028, 0.8918)  3 Tc 2.49

Crystal system = trigonal
Total magnetization = 0.00 μB/f.u.
ρ = 6.97 g/cm³
D(E_F) = 3.3 states/eV/cell

iii:
A relaxed BaInTc2 crystal. Source: Alexandria, functional PBE.

a b c (Å): 8.0325 8.0325 6.4741
angles (deg): 51.66 51.66 90.00
Last column: nearest neighbours and their distance in Å.
Positions (direct):
Tc (0.5839, 0.1250, 0.2500)  2 In 2.73
Tc (0.1661, 0.6250, 0.2500)  2 In 2.73
Tc (0.3750, 0.4161, 0.7500)  2 In 2.73
Tc (0.8750, 0.8339, 0.7500)  2 In 2.73
Ba (0.0000, 0.0000, 0.0000)  2 In 3.11, 4 Tc 3.18
Ba (0.7500, 0.2500, 0.5000)  2 In 3.11, 4 Tc 3.18
In (0.5000, 0.5000, 0.0000)  4 Tc 2.73
In (0.2500, 0.7500, 0.5000)  4 Tc 2.73

Crystal system = tetragonal
Total magnetization = 3.98 μB/f.u.
ρ = 7.42 g/cm³
D(E_F) = 12.2 states/eV/cell

iv:
A relaxed BaInTc2 crystal. Source: Alexandria, functional PBE.

a b c (Å): 4.9766 4.9766 4.9766
angles (deg): 119.89 119.89 90.20
Last column: nearest neighbours and their distance in Å.
Positions (direct):
Ba (0.5000, 0.5000, 0.0000)  4 In 3.05, 4 Tc 3.05
In (0.7500, 0.2500, 0.5000)  4 Tc 3.05, 4 Ba 3.05
Tc (0.0000, 0.0000, 0.0000)  4 Tc 3.05, 4 In 3.05
Tc (0.2500, 0.7500, 0.5000)  4 Tc 3.05, 4 Ba 3.05

Crystal system = tetragonal
Total magnetization = 0.00 μB/f.u.
ρ = 8.52 g/cm³
D(E_F) = 4.0 states/eV/cell

Energetically preferred structure: ii | next structure: +21.0 kJ/mol of atoms

i:
A relaxed BaInTc crystal. Source: Alexandria, functional PBE.

a b c (Å): 4.7207 4.7207 4.8579
angles (deg): 90.00 90.00 120.00
Last column: nearest neighbours and their distance in Å.
Positions (direct):
Ba (0.0000, 0.0000, 0.0000)  6 Tc 3.65, 6 In 3.65
In (0.6667, 0.3333, 0.4999)  3 Tc 2.73
Tc (0.3333, 0.6667, 0.5001)  3 In 2.73

Crystal system = hexagonal
Total magnetization = 1.49 μB/f.u.
ρ = 6.20 g/cm³
D(E_F) = 4.9 states/eV/cell

ii:
A relaxed BaInTc crystal. Source: Alexandria, functional PBE.

a b c (Å): 3.6530 3.6530 7.1645
angles (deg): 90.00 90.00 120.00
Last column: nearest neighbours and their distance in Å.
Positions (direct):
Ba (0.0000, 0.0000, 0.9678)  3 Tc 3.16
In (0.6667, 0.3333, 0.3927)  3 Tc 2.75
Tc (0.3333, 0.6667, 0.6395)  3 In 2.75

Crystal system = trigonal
Total magnetization = 0.36 μB/f.u.
ρ = 7.02 g/cm³
D(E_F) = 4.2 states/eV/cell

iii:
A relaxed BaInTc crystal. Source: Alexandria, functional PBE.

a b c (Å): 6.4730 6.4731 3.7421
angles (deg): 73.20 73.20 33.60
Last column: nearest neighbours and their distance in Å.
Positions (direct):
Ba (0.9971, 0.9971, 0.0029)  1 In 3.27, 1 Tc 3.37
In (0.7204, 0.7204, 0.2796)  4 Tc 2.75
Tc (0.2825, 0.2825, 0.7175)  4 In 2.75

Crystal system = tetragonal
Total magnetization = 0.30 μB/f.u.
ρ = 7.03 g/cm³
D(E_F) = 2.1 states/eV/cell

iv:
A relaxed BaInTc crystal. Source: Alexandria, functional PBE.

a b c (Å): 5.3828 5.3828 5.3828
angles (deg): 60.00 60.00 60.00
Last column: nearest neighbours and their distance in Å.
Positions (direct):
Ba (0.7500, 0.7500, 0.7500)  4 In 3.30, 4 Tc 3.30
In (0.0000, 0.0000, 0.0000)  4 Ba 3.30
Tc (0.5000, 0.5000, 0.5000)  4 Ba 3.30

Crystal system = cubic
Total magnetization = 2.84 μB/f.u.
ρ = 5.27 g/cm³
D(E_F) = 4.8 states/eV/cell

Energetically preferred structure: iii | next structure: +9.6 kJ/mol of atoms

i:
A relaxed BaIn3Tc crystal. Source: Alexandria, functional PBE.

a b c (Å): 6.2193 6.2193 6.2193
angles (deg): 90.00 90.00 90.00
Last column: nearest neighbours and their distance in Å.
Positions (direct):
Tc (0.5000, 0.5000, 0.5000)  12 In 4.40
Ba (0.0000, 0.0000, 0.0000)  6 In 3.11
In (0.0000, 0.5000, 0.0000)  2 Ba 3.11
In (0.0000, 0.0000, 0.5000)  2 Ba 3.11
In (0.5000, 0.0000, 0.0000)  2 Ba 3.11

Crystal system = cubic
Total magnetization = 2.64 μB/f.u.
ρ = 4.00 g/cm³
D(E_F) = 7.6 states/eV/cell

ii:
A relaxed BaIn3Tc crystal. Source: Alexandria, functional PBE.

a b c (Å): 5.2768 5.2768 5.2768
angles (deg): 90.00 90.00 90.00
Last column: nearest neighbours and their distance in Å.
Positions (direct):
Tc (0.0000, 0.0000, 0.0000)  6 In 2.64
Ba (0.5000, 0.5000, 0.5000)  12 In 3.73
In (0.0000, 0.5000, 0.0000)  2 Tc 2.64
In (0.0000, 0.0000, 0.5000)  2 Tc 2.64
In (0.5000, 0.0000, 0.0000)  2 Tc 2.64

Crystal system = cubic
Total magnetization = 0.00 μB/f.u.
ρ = 6.55 g/cm³
D(E_F) = 1.8 states/eV/cell

Energetically preferred structure: ii | next structure: +186.7 kJ/mol of atoms